Record 1
An optimized crystal structure of LuZrTa, computed with PBE-GGA.

a = 3.665 Å, b = 3.665 Å, c = 5.818 Å
α = 108.36°, β = 108.36°, γ = 90.00°
Positions (direct):
Zr1 0.304 0.304 0.608
Ta1 0.692 0.692 0.383
Lu1 0.004 0.004 0.008

Computed properties:
**Energy of formation**: 0.211 eV/atom

Record 2
An optimized crystal structure of AlCu2P, computed with PBE-GGA.

a = 4.291 Å, b = 4.291 Å, c = 4.291 Å
α = 60.00°, β = 60.00°, γ = 60.00°
Positions (direct):
Al1 0.000 0.000 0.000
Cu1 0.750 0.750 0.750
Cu2 0.250 0.250 0.250
P1 0.500 0.500 0.500

Computed properties:
**Energy above the lowest structure with this stoichiometry**: 198.2 meV/atom
**Energy of formation**: 0.169 eV/atom

Record 3
An optimized crystal structure of ZrTi2Ag2Te6, computed with PBE-GGA.

a = 6.752 Å, b = 6.752 Å, c = 7.798 Å
α = 95.04°, β = 95.04°, γ = 120.21°
Positions (direct):
Ag1 0.125 0.875 0.000
Zr1 0.000 0.000 0.500
Te1 0.957 0.606 0.273
Ag2 0.875 0.125 0.000
Te2 0.699 0.699 0.729
Te3 0.301 0.301 0.271
Te4 0.606 0.957 0.273
Ti1 0.335 0.665 0.500
Te5 0.394 0.043 0.727
Ti2 0.665 0.335 0.500
Te6 0.043 0.394 0.727

Computed properties:
**Formation energy without anion corrections**: -501 meV/atom

Record 4
An optimized crystal structure of YMgBe2N, computed with PBE-GGA.

a = 4.515 Å, b = 3.938 Å, c = 4.515 Å
α = 90.00°, β = 90.00°, γ = 90.00°
Positions (direct):
Mg1 0.000 0.000 0.000
Be1 0.000 0.000 0.500
Y1 0.500 0.500 0.500
N1 0.000 0.500 0.000
Be2 0.500 0.000 0.000

Computed properties:
**Formation energy without anion corrections**: 766 meV/atom

Record 5
An optimized crystal structure of ScZn2Tc2, computed with PBE-GGA.

a = 6.758 Å, b = 6.758 Å, c = 3.411 Å
α = 90.00°, β = 90.00°, γ = 90.00°
Positions (direct):
Sc1 0.000 0.000 0.000
Tc1 0.673 0.827 0.500
Sc2 0.500 0.500 0.000
Zn1 0.375 0.875 0.000
Tc2 0.173 0.673 0.500
Tc3 0.827 0.327 0.500
Zn2 0.125 0.375 0.000
Zn3 0.625 0.125 0.000
Tc4 0.327 0.173 0.500
Zn4 0.875 0.625 0.000

Computed properties:
**Energy above the lowest structure with this stoichiometry**: 0.0 meV/atom
**Energy of formation**: 0.040 eV/atom

Record 6
An optimized crystal structure of CePrSiAu, computed with PBE-GGA.

a = 5.225 Å, b = 5.225 Å, c = 5.225 Å
α = 60.00°, β = 60.00°, γ = 60.00°
Positions (direct):
Au1 0.250 0.250 0.250
Si1 0.750 0.750 0.750
Pr1 0.500 0.500 0.500
Ce1 0.000 0.000 0.000

Computed properties:
**Formation energy without anion corrections**: -540 meV/atom

Record 7
An optimized crystal structure of CuTc2, computed with PBE-GGA.

a = 4.288 Å, b = 4.288 Å, c = 5.207 Å
α = 90.00°, β = 90.00°, γ = 120.00°
Positions (direct):
Tc1 0.000 0.000 0.000
Cu1 0.667 0.333 0.750
Tc2 0.333 0.667 0.750
Tc3 0.667 0.333 0.250
Cu2 0.333 0.667 0.250
Tc4 0.000 0.000 0.500

Computed properties:
**Energy above the lowest structure with this stoichiometry**: 277.0 meV/atom
**Energy of formation**: 0.366 eV/atom

Record 8
An optimized crystal structure of CsCa3Ag4F12, computed with PBE-GGA.

a = 7.782 Å, b = 7.782 Å, c = 7.782 Å
α = 106.30°, β = 106.30°, γ = 106.30°
Positions (direct):
Ca1 0.000 0.581 0.419
Ca2 0.419 0.000 0.581
F1 0.373 0.018 0.282
F2 0.982 0.627 0.718
F3 0.627 0.718 0.982
F4 0.718 0.982 0.627
Ag1 0.108 0.500 0.892
Ca3 0.581 0.419 0.000
F5 0.500 0.321 0.679
F6 0.092 0.908 0.500
F7 0.500 0.092 0.908
F8 0.018 0.282 0.373
F9 0.908 0.500 0.092
Cs1 0.000 0.000 0.000
Ag2 0.892 0.108 0.500
F10 0.282 0.373 0.018
Ag3 0.500 0.500 0.500
Ag4 0.500 0.892 0.108
F11 0.321 0.679 0.500
F12 0.679 0.500 0.321

Computed properties:
**Formation energy without anion corrections**: -2448 meV/atom

Record 9
An optimized crystal structure of ZrTa2Nb6, computed with PBE-GGA.

a = 4.740 Å, b = 5.564 Å, c = 7.273 Å
α = 110.37°, β = 109.53°, γ = 89.45°
Positions (direct):
Ta1 0.114 0.573 0.228
Zr1 0.000 0.000 0.000
Ta2 0.886 0.427 0.772
Nb1 0.230 0.125 0.459
Nb2 0.335 0.668 0.670
Nb3 0.770 0.875 0.541
Nb4 0.665 0.332 0.330
Nb5 0.555 0.769 0.110
Nb6 0.445 0.231 0.890

Computed properties:
**Energy of formation**: 0.015 eV/atom

Record 10
An optimized crystal structure of InPSe2, computed with PBE-GGA.

a = 4.072 Å, b = 4.072 Å, c = 5.914 Å
α = 90.00°, β = 90.00°, γ = 90.00°
Positions (direct):
Se1 0.000 0.000 0.879
In1 0.000 0.000 0.397
Se2 0.500 0.500 0.303
P1 0.500 0.500 0.921

Computed properties:
**Formation energy without anion corrections**: -20 meV/atom
**Energy above the lowest structure with this stoichiometry**: 61.4 meV/atom

Spin magnetization, respectively: 0.001, 0.000, 0.000, 0.000, 0.000, 0.476, 0.206, 0.043, 0.000, 0.000 μB per atom.